# InFe3Ru PBE-GGA relaxed
# energy above the most stable polymorph in this dataset: 0.000 eV/f.u.
# mass density: 6.50 g cm⁻³
data_InFe3Ru
_chemical_formula_sum 'In1 Fe3 Ru1'
_space_group_name_H-M_alt 'P m -3 m'
_space_group_IT_number 221
_space_group_name_Hall '-P 4 2 3'
_cell_length_a 4.610
_cell_length_b 4.610
_cell_length_c 4.610
_cell_angle_alpha 90.00
_cell_angle_beta 90.00
_cell_angle_gamma 90.00
loop_
_atom_site_label
_atom_site_type_symbol
_atom_site_fract_x
_atom_site_fract_y
_atom_site_fract_z
In1 In 0.000 0.000 0.000
Fe1 Fe 0.000 0.500 0.500
Ru1 Ru 0.500 0.500 0.500

# Hf2SiPb2 PBE-GGA relaxed
# energy relative to the elements, uncorrected: -38 meV/atom
# mass density: 11.34 g cm⁻³
data_Hf2SiPb2
_chemical_formula_sum 'Hf4 Si2 Pb4'
_space_group_name_H-M_alt 'P 4/m b m'
_space_group_IT_number 127
_space_group_name_Hall '-P 4 2ab'
_cell_length_a 7.058
_cell_length_b 7.058
_cell_length_c 4.700
_cell_angle_alpha 90.00
_cell_angle_beta 90.00
_cell_angle_gamma 90.00
loop_
_atom_site_label
_atom_site_type_symbol
_atom_site_fract_x
_atom_site_fract_y
_atom_site_fract_z
Hf1 Hf 0.159 0.341 0.000
Si1 Si 0.000 0.000 0.000
Pb1 Pb 0.159 0.659 0.500

# LiBeZnAg PBE-GGA relaxed
# E_tot: -9.85 eV per formula unit
# mass density: 5.99 g cm⁻³
data_LiBeZnAg
_chemical_formula_sum 'Li4 Be4 Zn4 Ag4'
_space_group_name_H-M_alt 'F -4 3 m'
_space_group_IT_number 216
_space_group_name_Hall 'F -4 2 3'
_cell_length_a 5.943
_cell_length_b 5.943
_cell_length_c 5.943
_cell_angle_alpha 90.00
_cell_angle_beta 90.00
_cell_angle_gamma 90.00
loop_
_atom_site_label
_atom_site_type_symbol
_atom_site_fract_x
_atom_site_fract_y
_atom_site_fract_z
Li1 Li 0.000 0.000 0.000
Be1 Be 0.000 0.000 0.500
Zn1 Zn 0.250 0.250 0.750
Ag1 Ag 0.250 0.250 0.250

# Nd3Zn2Ge3 PBE-GGA relaxed
# energy above the most stable polymorph in this dataset: 0.000 eV/f.u.
# mass density: 7.19 g cm⁻³
data_Nd3Zn2Ge3
_chemical_formula_sum 'Nd12 Zn8 Ge12'
_space_group_name_H-M_alt 'C m c m'
_space_group_IT_number 63
_space_group_name_Hall '-C 2c 2'
_cell_length_a 4.315
_cell_length_b 11.350
_cell_length_c 14.741
_cell_angle_alpha 90.00
_cell_angle_beta 90.00
_cell_angle_gamma 90.00
loop_
_atom_site_label
_atom_site_type_symbol
_atom_site_fract_x
_atom_site_fract_y
_atom_site_fract_z
Nd1 Nd 0.000 0.072 0.112
Nd2 Nd 0.000 0.357 0.250
Zn1 Zn 0.000 0.227 0.596
Ge1 Ge 0.000 0.354 0.750
Ge2 Ge 0.000 0.378 0.044

# Li3In2Ag8 PBE-GGA relaxed
# E_tot: -34.27 eV per formula unit
# mass density: 7.13 g cm⁻³
data_Li3In2Ag8
_chemical_formula_sum 'Li9 In6 Ag24'
_space_group_name_H-M_alt 'R -3 m'
_space_group_IT_number 166
_space_group_name_Hall '-R 3 2"'
_cell_length_a 5.4768
_cell_length_b 5.4768
_cell_length_c 29.9562
_cell_angle_alpha 90.00
_cell_angle_beta 90.00
_cell_angle_gamma 120.00
loop_
_atom_site_label
_atom_site_type_symbol
_atom_site_fract_x
_atom_site_fract_y
_atom_site_fract_z
Li1 Li 0.0000 0.0000 0.0000
Li2 Li 0.0000 0.0000 0.1862
In1 In 0.0000 0.0000 0.3639
Ag1 Ag 0.0000 0.0000 0.2727
Ag2 Ag 0.0009 0.5004 0.7787

# Pm3Nd12Pu PBE-GGA relaxed
# E_tot: -85.10 eV per formula unit
# mass density: 7.22 g cm⁻³
data_Pm3Nd12Pu
_chemical_formula_sum 'Pm3 Nd12 Pu1'
_space_group_name_H-M_alt 'P 4/m m m'
_space_group_IT_number 123
_space_group_name_Hall '-P 4 2'
_cell_length_a 5.179
_cell_length_b 5.179
_cell_length_c 20.666
_cell_angle_alpha 90.00
_cell_angle_beta 90.00
_cell_angle_gamma 90.00
loop_
_atom_site_label
_atom_site_type_symbol
_atom_site_fract_x
_atom_site_fract_y
_atom_site_fract_z
Pm1 Pm 0.000 0.000 0.000
Pm2 Pm 0.000 0.000 0.252
Nd1 Nd 0.000 0.500 0.126
Nd2 Nd 0.000 0.500 0.379
Nd3 Nd 0.500 0.500 0.000
Nd4 Nd 0.500 0.500 0.252
Nd5 Nd 0.500 0.500 0.500
Pu1 Pu 0.000 0.000 0.500

# AcSm2Tl3S6 PBE-GGA relaxed
# energy relative to the elements, uncorrected: -1473 meV/atom
# mass density: 6.36 g cm⁻³
data_AcSm2Tl3S6
_chemical_formula_sum 'Ac2 Sm4 Tl6 S12'
_space_group_name_H-M_alt 'C 1 2/m 1'
_space_group_IT_number 12
_space_group_name_Hall '-C 2y'
_cell_length_a 7.333
_cell_length_b 12.684
_cell_length_c 7.869
_cell_angle_alpha 90.00
_cell_angle_beta 108.05
_cell_angle_gamma 90.00
loop_
_atom_site_label
_atom_site_type_symbol
_atom_site_fract_x
_atom_site_fract_y
_atom_site_fract_z
Ac1 Ac 0.000 0.000 0.000
Sm1 Sm 0.000 0.334 0.000
Tl1 Tl 0.000 0.166 0.500
Tl2 Tl 0.000 0.500 0.500
S1 S 0.219 0.500 0.202
S2 S 0.243 0.174 0.206

# Ba2AlCdH PBE-GGA relaxed
# energy above the most stable polymorph in this dataset: 0.000 eV/f.u.
# mass density: 4.74 g cm⁻³
data_Ba2AlCdH
_chemical_formula_sum 'Ba2 Al1 Cd1 H1'
_space_group_name_H-M_alt 'P 4/m m m'
_space_group_IT_number 123
_space_group_name_Hall '-P 4 2'
_cell_length_a 5.814
_cell_length_b 5.814
_cell_length_c 4.304
_cell_angle_alpha 90.00
_cell_angle_beta 90.00
_cell_angle_gamma 90.00
loop_
_atom_site_label
_atom_site_type_symbol
_atom_site_fract_x
_atom_site_fract_y
_atom_site_fract_z
Ba1 Ba 0.000 0.500 0.000
Al1 Al 0.000 0.000 0.500
Cd1 Cd 0.500 0.500 0.500
H1 H 0.000 0.000 0.000

What is the formula in the fourth record? Nd3Zn2Ge3